Dy3Er2Sc8: optimized geometry, PBE-GGA.

Its crystal system is monoclinic. The total moment comes out at 0.004 μB/cell. As for the energy of formation: 290 meV/atom.

The structure belongs to space group C2/m (No. 12); the cell edges are 19.622, 7.178 and 5.233 Å and the angles 90.00°, 90.04° and 90.00°. The inequivalent atoms are Dy at (0.000, 0.000, 0.000), Dy at (0.000, 0.287, 0.500), Er at (0.240, 0.000, 0.999), Sc at (0.110, 0.292, 0.001), Sc at (0.132, 0.000, 0.500) and Sc at (0.165, 0.500, 0.501).

Rb2SiCl: optimized geometry, PBE-GGA.

Its crystal system is cubic. The total moment comes out at 12.000 μB/cell. As for the energy above the lowest structure with this stoichiometry: 0.0 meV per atom. The energy relative to the elements, uncorrected comes out at -0.333 eV per atom.

The structure belongs to space group Fm-3m (No. 225); the cell edges are 8.495, 8.495 and 8.495 Å and the angles 90.00°, 90.00° and 90.00°. The inequivalent atoms are Rb at (0.250, 0.250, 0.250), Si at (0.000, 0.000, 0.000) and Cl at (0.000, 0.000, 0.500).

BaAlH3: optimized geometry, PBE-GGA.

Its crystal system is cubic. The total moment comes out at 0.000 μB/cell. As for the energy above the lowest structure with this stoichiometry: 0.0 meV per atom.

The structure belongs to space group Pm-3m (No. 221); the cell edges are 4.094, 4.094 and 4.094 Å and the angles 90.00°, 90.00° and 90.00°. The inequivalent atoms are Ba at (0.000, 0.000, 0.000), Al at (0.500, 0.500, 0.500) and H at (0.000, 0.500, 0.500).

KMgMo2: optimized geometry, PBE-GGA.

Its crystal system is tetragonal. The total moment comes out at 0.000 μB/cell. As for the energy of formation: 930 meV/atom.

The structure belongs to space group P4/mmm (No. 123); the cell edges are 2.710, 2.710 and 10.870 Å and the angles 90.00°, 90.00° and 90.00°. The inequivalent atoms are K at (0.000, 0.000, 0.000), Mg at (0.000, 0.000, 0.500) and Mo at (0.500, 0.500, 0.289).

PaGaCuHg: optimized geometry, PBE-GGA.

Its crystal system is cubic. The total moment comes out at 0.000 μB/cell. As for the energy of formation: 19 meV/atom.

The structure belongs to space group F-43m (No. 216); the cell edges are 6.818, 6.818 and 6.818 Å and the angles 90.00°, 90.00° and 90.00°. The inequivalent atoms are Pa at (0.000, 0.000, 0.000), Ga at (0.250, 0.250, 0.250), Cu at (0.250, 0.250, 0.750) and Hg at (0.000, 0.000, 0.500).

NdMg2Ge: optimized geometry, PBE-GGA.

Its crystal system is tetragonal. The total moment comes out at 0.000 μB/cell. As for the energy of formation: -381 meV/atom.

The structure belongs to space group P4/mmm (No. 123); the cell edges are 4.408, 4.408 and 4.834 Å and the angles 90.00°, 90.00° and 90.00°. The inequivalent atoms are Nd at (0.000, 0.000, 0.000), Mg at (0.000, 0.500, 0.500) and Ge at (0.500, 0.500, 0.000).

AcLa2FeN4: optimized geometry, PBE-GGA.

Its crystal system is orthorhombic. The total moment comes out at 0.002 μB/cell. The energy relative to the elements, uncorrected comes out at -0.894 eV per atom.

The structure belongs to space group Cmcm (No. 63); the cell edges are 3.588, 12.196 and 12.368 Å and the angles 90.00°, 90.00° and 90.00°. The inequivalent atoms are Ac at (0.000, 0.114, 0.250), La at (0.000, 0.367, 0.045), Fe at (0.000, 0.169, 0.750), N at (0.000, 0.000, 0.000), N at (0.000, 0.270, 0.635) and N at (0.000, 0.389, 0.250).

LiAg: optimized geometry, PBE-GGA.

Its crystal system is monoclinic. The total moment comes out at 0.000 μB/cell. As for the energy of formation: -181 meV/atom.

The structure belongs to space group Cm (No. 8); the cell edges are 10.425, 2.895 and 6.869 Å and the angles 90.00°, 106.19° and 90.00°. The inequivalent atoms are Li at (0.000, 0.000, 0.000), Li at (0.059, 0.000, 0.615), Li at (0.367, 0.000, 0.279), Ag at (0.147, 0.500, 0.331), Ag at (0.219, 0.500, 0.945) and Ag at (0.340, 0.000, 0.668).

HfAl2VCl: optimized geometry, PBE-GGA.

Its crystal system is tetragonal. The total moment comes out at 1.517 μB/cell. The energy relative to the elements, uncorrected comes out at 1.126 eV per atom.

The structure belongs to space group P4/mmm (No. 123); the cell edges are 5.453, 5.453 and 4.679 Å and the angles 90.00°, 90.00° and 90.00°. The inequivalent atoms are Hf at (0.000, 0.000, 0.000), Al at (0.000, 0.500, 0.000), V at (0.000, 0.000, 0.500) and Cl at (0.500, 0.500, 0.500).

NaHf2NbSe: optimized geometry, PBE-GGA.

Its crystal system is tetragonal. The total moment comes out at 0.000 μB/cell. The energy relative to the elements, uncorrected comes out at 1.503 eV per atom.

The structure belongs to space group P4/mmm (No. 123); the cell edges are 5.018, 5.018 and 4.521 Å and the angles 90.00°, 90.00° and 90.00°. The inequivalent atoms are Na at (0.000, 0.000, 0.000), Hf at (0.000, 0.500, 0.000), Nb at (0.500, 0.500, 0.500) and Se at (0.000, 0.000, 0.500).

NiAg2Ir: optimized geometry, PBE-GGA.

Its crystal system is orthorhombic. The total moment comes out at 1.010 μB/cell. As for the energy above the lowest structure with this stoichiometry: 178.8 meV per atom. As for the energy of formation: 382 meV/atom.

The structure belongs to space group Imm2 (No. 44); the cell edges are 2.757, 4.761 and 9.485 Å and the angles 90.00°, 90.00° and 90.00°. The inequivalent atoms are Ni at (0.000, 0.000, 0.000), Ag at (0.000, 0.000, 0.520), Ag at (0.000, 0.500, 0.746) and Ir at (0.000, 0.500, 0.286).

BaLaHfPd2: optimized geometry, PBE-GGA.

Its crystal system is tetragonal. The total moment comes out at 0.000 μB/cell. As for the energy of formation: 112 meV/atom.

The structure belongs to space group P4/mmm (No. 123); the cell edges are 5.161, 5.161 and 5.589 Å and the angles 90.00°, 90.00° and 90.00°. The inequivalent atoms are Ba at (0.000, 0.000, 0.000), La at (0.500, 0.500, 0.000), Hf at (0.500, 0.500, 0.500) and Pd at (0.000, 0.500, 0.500).